No. 1
This record from the Alexandria database describes Pr2GaCl after structural relaxation. The functional is PBE-GGA.

Its total energy is -4.624 eV per atom. For the formation energy without anion corrections, the calculation gives -1.016 eV per atom.

abc: 4.2965 4.2965 20.8120
angles: 90.00 90.00 120.00
Space group R-3m (No. 166, hexagonal axes)
Symmetry-distinct sites (fractional):
Pr: 0.0000 0.0000 0.2478 (multiplicity 6)
Ga: 0.0000 0.0000 0.5000 (multiplicity 3)
Cl: 0.0000 0.0000 0.0000 (multiplicity 3)



No. 2
This record from the Alexandria database describes Pr2GaCl after structural relaxation. The functional is PBE-GGA.

Its total energy is -4.685 eV per atom. For the formation energy without anion corrections, the calculation gives -1.077 eV per atom.

abc: 5.996 5.996 12.139
angles: 90.00 90.00 90.00
Space group Pmna (No. 53)
Symmetry-distinct sites (fractional):
Pr: 0.000 0.249 0.124 (multiplicity 4)
Pr: 0.000 0.251 0.626 (multiplicity 4)
Ga: 0.000 0.251 0.875 (multiplicity 4)
Cl: 0.000 0.249 0.375 (multiplicity 4)



No. 3
This record from the Alexandria database describes PrGa2Cl8 after structural relaxation. The functional is PBE-GGA.

Its total energy is -3.690 eV per atom. For the formation energy without anion corrections, the calculation gives -1.362 eV per atom.

abc: 13.489 8.500 6.754
angles: 90.00 100.01 90.00
Space group C2/m (No. 12)
Symmetry-distinct sites (fractional):
Pr: 0.000 0.000 0.000 (multiplicity 2)
Ga: 0.194 0.000 0.657 (multiplicity 4)
Cl: 0.103 0.201 0.775 (multiplicity 8)
Cl: 0.145 0.500 0.224 (multiplicity 4)
Cl: 0.170 0.000 0.304 (multiplicity 4)



No. 4
This record from the Alexandria database describes Pr2GaCl after structural relaxation. The functional is PBE-GGA.

Its total energy is -4.576 eV per atom. For the formation energy without anion corrections, the calculation gives -0.968 eV per atom.

abc: 3.506 3.506 8.217
angles: 90.00 90.00 90.00
Space group P4/mmm (No. 123)
Symmetry-distinct sites (fractional):
Pr: 0.000 0.000 0.236 (multiplicity 2)
Ga: 0.500 0.500 0.000 (multiplicity 1)
Cl: 0.500 0.500 0.500 (multiplicity 1)



No. 5
This record from the Alexandria database describes Pr4GaCl5 after structural relaxation. The functional is PBE-GGA.

Its total energy is -4.802 eV per atom. For the formation energy without anion corrections, the calculation gives -1.665 eV per atom.

abc: 18.543 4.163 8.513
angles: 90.00 104.55 90.00
Space group C2/m (No. 12)
Symmetry-distinct sites (fractional):
Pr: 0.000 0.000 0.240 (multiplicity 4)
Pr: 0.158 0.500 0.095 (multiplicity 4)
Ga: 0.000 0.500 0.000 (multiplicity 2)
Cl: 0.000 0.500 0.500 (multiplicity 2)
Cl: 0.166 0.000 0.330 (multiplicity 4)
Cl: 0.170 0.000 0.860 (multiplicity 4)



No. 6
This record from the Alexandria database describes Pr4GaPtCl2 after structural relaxation. The functional is PBE-GGA.

Its total energy is -5.129 eV per atom. For the formation energy without anion corrections, the calculation gives -1.144 eV per atom.

abc: 7.454 4.118 7.694
angles: 90.00 108.65 90.00
Space group P2/m (No. 10)
Symmetry-distinct sites (fractional):
Pr: 0.221 0.000 0.236 (multiplicity 2)
Pr: 0.243 0.500 0.755 (multiplicity 2)
Ga: 0.000 0.000 0.500 (multiplicity 1)
Pt: 0.000 0.500 0.000 (multiplicity 1)
Cl: 0.500 0.000 0.000 (multiplicity 1)
Cl: 0.500 0.500 0.500 (multiplicity 1)



No. 7
This record from the Alexandria database describes Pr8GaRh3Cl4 after structural relaxation. The functional is PBE-GGA.

Its total energy is -5.498 eV per atom. For the formation energy without anion corrections, the calculation gives -1.079 eV per atom.

abc: 14.529 8.391 8.911
angles: 90.00 122.96 90.00
Space group C2/m (No. 12)
Symmetry-distinct sites (fractional):
Pr: 0.016 0.241 0.291 (multiplicity 8)
Pr: 0.238 0.000 0.712 (multiplicity 4)
Pr: 0.243 0.500 0.709 (multiplicity 4)
Ga: 0.000 0.500 0.500 (multiplicity 2)
Rh: 0.000 0.000 0.500 (multiplicity 2)
Rh: 0.250 0.250 0.500 (multiplicity 4)
Cl: 0.000 0.000 0.000 (multiplicity 2)
Cl: 0.000 0.500 0.000 (multiplicity 2)
Cl: 0.250 0.250 0.000 (multiplicity 4)



No. 8
This record from the Alexandria database describes Pr4GaSCl2 after structural relaxation. The functional is PBE-GGA.

Its total energy is -5.141 eV per atom. For the formation energy without anion corrections, the calculation gives -1.395 eV per atom.

abc: 7.181 4.229 7.490
angles: 90.00 109.70 90.00
Space group P2/m (No. 10)
Symmetry-distinct sites (fractional):
Pr: 0.234 0.000 0.220 (multiplicity 2)
Pr: 0.248 0.500 0.771 (multiplicity 2)
Ga: 0.500 0.000 0.000 (multiplicity 1)
S: 0.000 0.500 0.000 (multiplicity 1)
Cl: 0.000 0.000 0.500 (multiplicity 1)
Cl: 0.500 0.500 0.500 (multiplicity 1)



No. 9
This record from the Alexandria database describes Pr6GaS2Cl3 after structural relaxation. The functional is PBE-GGA.

Its total energy is -5.293 eV per atom. For the formation energy without anion corrections, the calculation gives -1.501 eV per atom.

abc: 18.461 4.242 8.329
angles: 90.00 105.01 90.00
Space group C2/m (No. 12)
Symmetry-distinct sites (fractional):
Pr: 0.008 0.000 0.244 (multiplicity 4)
Pr: 0.163 0.500 0.101 (multiplicity 4)
Pr: 0.174 0.500 0.559 (multiplicity 4)
Ga: 0.000 0.500 0.000 (multiplicity 2)
S: 0.169 0.000 0.332 (multiplicity 4)
Cl: 0.000 0.500 0.500 (multiplicity 2)
Cl: 0.162 0.000 0.828 (multiplicity 4)



No. 10
This record from the Alexandria database describes Pr8GaS3Cl4 after structural relaxation. The functional is PBE-GGA.

Its total energy is -5.381 eV per atom. For the formation energy without anion corrections, the calculation gives -1.566 eV per atom.

abc: 8.3197 8.3197 20.9831
angles: 90.00 90.00 120.00
Space group R-3m (No. 166, hexagonal axes)
Symmetry-distinct sites (fractional):
Pr: 0.0000 0.0000 0.2367 (multiplicity 6)
Pr: 0.0078 0.5039 0.7606 (multiplicity 18)
Ga: 0.0000 0.0000 0.5000 (multiplicity 3)
S: 0.0000 0.5000 0.5000 (multiplicity 9)
Cl: 0.0000 0.0000 0.0000 (multiplicity 3)
Cl: 0.0000 0.5000 0.0000 (multiplicity 9)



No. 11
This record from the Alexandria database describes Pr3GaSeCl after structural relaxation. The functional is PBE-GGA.

Its total energy is -5.079 eV per atom. For the formation energy without anion corrections, the calculation gives -1.296 eV per atom.

abc: 7.634 4.059 11.295
angles: 90.00 103.24 90.00
Space group P2_1/m (No. 11)
Symmetry-distinct sites (fractional):
Pr: 0.044 0.250 0.169 (multiplicity 2)
Pr: 0.218 0.750 0.503 (multiplicity 2)
Pr: 0.441 0.750 0.844 (multiplicity 2)
Ga: 0.145 0.250 0.692 (multiplicity 2)
Se: 0.262 0.750 0.057 (multiplicity 2)
Cl: 0.380 0.250 0.367 (multiplicity 2)



No. 12
This record from the Alexandria database describes Pr4GaSe2Cl after structural relaxation. The functional is PBE-GGA.

Its total energy is -5.319 eV per atom. For the formation energy without anion corrections, the calculation gives -1.449 eV per atom.

abc: 8.490 8.623 12.068
angles: 90.00 90.00 90.00
Space group Imma (No. 74)
Symmetry-distinct sites (fractional):
Pr: 0.000 0.004 0.248 (multiplicity 8)
Pr: 0.240 0.250 0.004 (multiplicity 8)
Ga: 0.250 0.250 0.250 (multiplicity 4)
Se: 0.000 0.000 0.000 (multiplicity 4)
Se: 0.250 0.250 0.750 (multiplicity 4)
Cl: 0.000 0.000 0.500 (multiplicity 4)



Question: What is the formula in the third record?
Answer: PrGa2Cl8



Question: Number 11 is which compound?
Answer: Pr3GaSeCl



Repeat the eighth record exactly.
This record from the Alexandria database describes Pr4GaSCl2 after structural relaxation. The functional is PBE-GGA.

Its total energy is -5.141 eV per atom. For the formation energy without anion corrections, the calculation gives -1.395 eV per atom.

abc: 7.181 4.229 7.490
angles: 90.00 109.70 90.00
Space group P2/m (No. 10)
Symmetry-distinct sites (fractional):
Pr: 0.234 0.000 0.220 (multiplicity 2)
Pr: 0.248 0.500 0.771 (multiplicity 2)
Ga: 0.500 0.000 0.000 (multiplicity 1)
S: 0.000 0.500 0.000 (multiplicity 1)
Cl: 0.000 0.000 0.500 (multiplicity 1)
Cl: 0.500 0.500 0.500 (multiplicity 1)